Record 1
First-principles (GGA-PBE) data for a relaxed structure of LiAc3Ag2, as listed in the Alexandria database.

Output
spin magnetization = 0.000 μB per atom

abc: 5.5942 16.9112 4.0024
angles: 90.00 90.00 90.00
Space group Cmmm (No. 65)
Unique sites:
Li1 0.0000 0.0000 0.0000 (multiplicity 2)
Ac1 0.0000 0.1730 0.5000 (multiplicity 4)
Ac2 0.0000 0.5000 0.5000 (multiplicity 2)
Ag1 0.0000 0.3419 0.0000 (multiplicity 4)

***

Record 2
First-principles (GGA-PBE) data for a relaxed structure of Zn4CuMo, as listed in the Alexandria database.

Output
spin magnetization = 0.059 μB per atom

abc: 7.0139 7.0139 7.0139
angles: 90.00 90.00 90.00
Space group F-43m (No. 216)
Unique sites:
Zn1 0.1244 0.1244 0.3756 (multiplicity 16)
Cu1 0.0000 0.0000 0.0000 (multiplicity 4)
Mo1 0.2500 0.2500 0.7500 (multiplicity 4)

***

Record 3
First-principles (GGA-PBE) data for a relaxed structure of Dy2Tm2Pu, as listed in the Alexandria database.

Output
spin magnetization = 1.139 μB per atom

abc: 6.6498 15.2588 5.8891
angles: 90.00 90.00 90.00
Space group Ibam (No. 72)
Unique sites:
Dy1 0.1563 0.1893 0.0000 (multiplicity 8)
Tm1 0.1306 0.4122 0.0000 (multiplicity 8)
Pu1 0.0000 0.0000 0.2500 (multiplicity 4)

***

Record 4
First-principles (GGA-PBE) data for a relaxed structure of Rb5RuCl2O4, as listed in the Alexandria database.

Output
spin magnetization = 0.084 μB per atom

abc: 8.8589 10.4594 7.0483
angles: 90.00 90.00 90.00
Space group Amm2 (No. 38)
Unique sites:
Rb1 0.0000 0.0000 0.0000 (multiplicity 2)
Rb2 0.2938 0.1861 0.4098 (multiplicity 8)
Ru1 0.5000 0.0000 0.9175 (multiplicity 2)
Cl1 0.0000 0.2061 0.6702 (multiplicity 4)
O1 0.3323 0.0000 0.0749 (multiplicity 4)
O2 0.5000 0.1381 0.7478 (multiplicity 4)

***

Record 5
First-principles (GGA-PBE) data for a relaxed structure of KRb2NaCl, as listed in the Alexandria database.

Output
spin magnetization = 0.000 μB per atom

abc: 6.6611 6.6611 6.2938
angles: 90.00 90.00 90.00
Space group P4/mmm (No. 123)
Unique sites:
K1 0.0000 0.0000 0.0000 (multiplicity 1)
Rb1 0.0000 0.5000 0.5000 (multiplicity 2)
Na1 0.5000 0.5000 0.0000 (multiplicity 1)
Cl1 0.0000 0.0000 0.5000 (multiplicity 1)

***

Record 6
First-principles (GGA-PBE) data for a relaxed structure of Er4HgTe2P, as listed in the Alexandria database.

Output
spin magnetization = 0.000 μB per atom

abc: 7.3364 4.0965 7.4944
angles: 90.00 107.95 90.00
Space group P2/m (No. 10)
Unique sites:
Er1 0.2169 0.0000 0.2262 (multiplicity 2)
Er2 0.2281 0.5000 0.7561 (multiplicity 2)
Hg1 0.0000 0.0000 0.5000 (multiplicity 1)
Te1 0.5000 0.0000 0.0000 (multiplicity 1)
Te2 0.5000 0.5000 0.5000 (multiplicity 1)
P1 0.0000 0.5000 0.0000 (multiplicity 1)

***

Record 7
First-principles (GGA-PBE) data for a relaxed structure of Pr2SmYHo6, as listed in the Alexandria database.

Output
spin magnetization = 0.000 μB per atom

abc: 9.0264 15.1010 9.7517
angles: 90.00 99.17 90.00
Space group C2/c (No. 15)
Unique sites:
Pr1 0.2444 0.0515 0.0420 (multiplicity 8)
Sm1 0.0000 0.0172 0.7500 (multiplicity 4)
Y1 0.0000 0.4065 0.2500 (multiplicity 4)
Ho1 0.0681 0.1913 0.4429 (multiplicity 8)
Ho2 0.0999 0.3939 0.6194 (multiplicity 8)
Ho3 0.2011 0.2241 0.8136 (multiplicity 8)

***

Record 8
First-principles (GGA-PBE) data for a relaxed structure of Al2CoGe, as listed in the Alexandria database.

Output
spin magnetization = 0.123 μB per atom

abc: 2.9098 2.9098 24.0973
angles: 90.00 90.00 120.00
Space group R-3m (No. 166, hexagonal axes)
Unique sites:
Al1 0.0000 0.0000 0.2399 (multiplicity 6)
Co1 0.0000 0.0000 0.5000 (multiplicity 3)
Ge1 0.0000 0.0000 0.0000 (multiplicity 3)

***

no.,uncorrected energy (eV/atom)
1,-3.4802
2,-3.0435
3,-6.3967
4,-4.5634
5,-1.9563
6,-4.9076
7,-4.7061
8,-4.8893